# 1
Entry from the Alexandria database: crystalline YSb3 at its relaxed geometry (PBE).

Calculated values
- energy above the lowest structure with this stoichiometry (meV/atom) = 87
- ΔE_f (raw) (kJ per mole of atoms) = -39.9
- SG = No. 65
- total magnetic moment (μB per cell) = 0.00

Cell: 5.295 5.295 3.966 Å, 90.00 90.00 102.04°
Fractional positions:
Y 0.000 0.000 0.000
Sb 0.000 0.500 0.500
Sb 0.500 0.000 0.500
Sb 0.500 0.500 0.000

***

# 2
Entry from the Alexandria database: crystalline YSb4 at its relaxed geometry (PBE).

Calculated values
- energy above the lowest structure with this stoichiometry (meV/atom) = 641
- ΔE_f (raw) (kJ per mole of atoms) = 49.8
- SG = No. 221
- total magnetic moment (μB per cell) = 0.00

Cell: 5.744 5.744 5.744 Å, 90.00 90.00 90.00°
Fractional positions:
Y 0.000 0.000 0.000
Sb 0.000 0.000 0.500
Sb 0.000 0.500 0.000
Sb 0.500 0.000 0.000
Sb 0.500 0.500 0.500

***

# 3
Entry from the Alexandria database: crystalline YSb3 at its relaxed geometry (PBE).

Calculated values
- energy above the lowest structure with this stoichiometry (meV/atom) = 389
- ΔE_f (raw) (kJ per mole of atoms) = -10.8
- SG = No. 166
- total magnetic moment (μB per cell) = 0.00

Cell: 11.089 11.089 11.089 Å, 17.76 17.76 17.76°
Fractional positions:
Y 0.000 0.000 0.000
Sb 0.254 0.254 0.254
Sb 0.500 0.500 0.500
Sb 0.746 0.746 0.746

***

# 4
Entry from the Alexandria database: crystalline Y2Sb at its relaxed geometry (PBE).

Calculated values
- ΔE_f (raw) (kJ per mole of atoms) = -65.1
- SG = No. 194
- total magnetic moment (μB per cell) = 0.00

Cell: 5.382 5.382 6.502 Å, 90.00 90.00 120.00°
Fractional positions:
Y 0.000 0.000 0.000
Y 0.000 0.000 0.500
Y 0.333 0.667 0.250
Y 0.667 0.333 0.750
Sb 0.333 0.667 0.750
Sb 0.667 0.333 0.250

***

# 5
Entry from the Alexandria database: crystalline Y2Sb at its relaxed geometry (PBE).

Calculated values
- ΔE_f (raw) (kJ per mole of atoms) = -52.7
- SG = No. 164
- total magnetic moment (μB per cell) = 0.97

Cell: 4.135 4.135 6.730 Å, 90.00 90.00 120.00°
Fractional positions:
Y 0.333 0.667 0.278
Y 0.667 0.333 0.722
Sb 0.000 0.000 0.000

***

# 6
Entry from the Alexandria database: crystalline YSb3 at its relaxed geometry (PBE).

Calculated values
- energy above the lowest structure with this stoichiometry (meV/atom) = 68
- ΔE_f (raw) (kJ per mole of atoms) = -41.8
- SG = No. 71
- total magnetic moment (μB per cell) = 0.00

Cell: 6.116 6.116 6.116 Å, 140.29 131.73 64.22°
Fractional positions:
Y 0.000 0.000 0.000
Sb 0.266 0.766 0.500
Sb 0.500 0.500 0.000
Sb 0.734 0.234 0.500